{"formula": "MnCuTc2", "functional": "PBE-GGA", "state": "relaxed", "cell": [[4.4206, -1.3587, 0.0000], [4.4206, 1.3587, 0.0000], [-0.9232, 0.0000, 4.5084]], "species": ["Mn", "Cu", "Tc", "Tc"], "frac_coords": [[0.0000, 0.0000, 0.0000], [0.5000, 0.5000, 0.5000], [0.2562, 0.2562, 0.7537], [0.7438, 0.7438, 0.2463]], "space_group": "C2/m", "e_above_lowest_polymorph_mev_per_atom": 69, "mass_density_g_cm3": 9.64, "formation_enthalpy_0k_ev_per_fu": 0.844}



{"formula": "MnCu2Tc", "functional": "PBE-GGA", "state": "relaxed", "cell": [[3.0094, 0.0000, 0.0000], [0.0000, 3.0094, 0.0000], [0.0000, 0.0000, 5.6866]], "species": ["Mn", "Cu", "Cu", "Tc"], "frac_coords": [[0.0000, 0.0000, 0.0000], [0.0000, 0.0000, 0.5185], [0.5000, 0.5000, 0.7414], [0.5000, 0.5000, 0.2338]], "space_group": "P4mm", "e_above_lowest_polymorph_mev_per_atom": 2, "mass_density_g_cm3": 9.03, "formation_enthalpy_0k_ev_per_fu": 0.644}



{"formula": "MnCu2Tc", "functional": "PBE-GGA", "state": "relaxed", "cell": [[1.3116, 0.7573, 8.4709], [-1.3116, 0.7573, 8.4709], [0.0000, -1.5145, 8.4709]], "species": ["Mn", "Cu", "Cu", "Tc"], "frac_coords": [[0.0000, 0.0000, 0.0000], [0.4984, 0.4984, 0.4984], [0.7499, 0.7499, 0.7499], [0.2555, 0.2555, 0.2555]], "space_group": "R3m", "e_above_lowest_polymorph_mev_per_atom": 6, "mass_density_g_cm3": 9.21, "formation_enthalpy_0k_ev_per_fu": 0.660}



{"formula": "MnCuTc2", "functional": "PBE-GGA", "state": "relaxed", "cell": [[-1.8356, 1.8356, 3.9976], [1.8356, -1.8356, 3.9976], [1.8356, 1.8356, -3.9976]], "species": ["Mn", "Cu", "Tc", "Tc"], "frac_coords": [[0.0000, 0.0000, 0.0000], [0.5000, 0.5000, 0.0000], [0.2500, 0.7500, 0.5000], [0.7500, 0.2500, 0.5000]], "space_group": "I4/mmm", "e_above_lowest_polymorph_mev_per_atom": 59, "mass_density_g_cm3": 9.69, "formation_enthalpy_0k_ev_per_fu": 0.803}



{"formula": "MnCu2Tc", "functional": "PBE-GGA", "state": "relaxed", "cell": [[4.4761, -1.3152, 0.0000], [4.4761, 1.3152, 0.0000], [-0.7684, 0.0000, 4.3813]], "species": ["Mn", "Cu", "Cu", "Tc"], "frac_coords": [[0.0000, 0.0000, 0.0000], [0.2506, 0.2506, 0.7522], [0.7494, 0.7494, 0.2478], [0.5000, 0.5000, 0.5000]], "space_group": "C2/m", "e_above_lowest_polymorph_mev_per_atom": 67, "mass_density_g_cm3": 9.01, "formation_enthalpy_0k_ev_per_fu": 0.905}



{"formula": "Mn2VCuTc", "functional": "PBE-GGA", "state": "relaxed", "cell": [[4.1775, 0.0000, 0.0000], [0.0000, 4.1775, 0.0000], [0.0000, 0.0000, 4.4838]], "species": ["Mn", "Mn", "V", "Cu", "Tc"], "frac_coords": [[0.0000, 0.5000, 0.0000], [0.5000, 0.0000, 0.0000], [0.0000, 0.0000, 0.5000], [0.5000, 0.5000, 0.0000], [0.5000, 0.5000, 0.5000]], "space_group": "P4/mmm", "mass_density_g_cm3": 6.84, "formation_enthalpy_0k_ev_per_fu": 8.423}



{"formula": "MnCuTcW", "functional": "PBE-GGA", "state": "relaxed", "cell": [[0.0000, 3.0355, 3.0355], [3.0355, 0.0000, 3.0355], [3.0355, 3.0355, 0.0000]], "species": ["Mn", "Cu", "Tc", "W"], "frac_coords": [[0.0000, 0.0000, 0.0000], [0.7500, 0.7500, 0.7500], [0.5000, 0.5000, 0.5000], [0.2500, 0.2500, 0.2500]], "space_group": "F-43m", "mass_density_g_cm3": 11.88, "formation_enthalpy_0k_ev_per_fu": 0.746}



{"formula": "MnZnCuTc2", "functional": "PBE-GGA", "state": "relaxed", "cell": [[4.5078, 0.0000, 0.0000], [0.0000, 4.5078, 0.0000], [0.0000, 0.0000, 4.2171]], "species": ["Mn", "Zn", "Cu", "Tc", "Tc"], "frac_coords": [[0.0000, 0.0000, 0.0000], [0.5000, 0.5000, 0.0000], [0.0000, 0.0000, 0.5000], [0.0000, 0.5000, 0.5000], [0.5000, 0.0000, 0.5000]], "space_group": "P4/mmm", "mass_density_g_cm3": 7.36, "formation_enthalpy_0k_ev_per_fu": 8.289}



{"formula": "MnCuTe", "functional": "PBE-GGA", "state": "relaxed", "cell": [[4.0565, 0.0000, 0.0000], [-2.0283, 3.5131, 0.0000], [0.0000, 0.0000, 4.0525]], "species": ["Mn", "Cu", "Te"], "frac_coords": [[0.0000, 0.0000, 0.0000], [0.3333, 0.6667, 0.7274], [0.6667, 0.3333, 0.4139]], "space_group": "P3m1", "e_above_lowest_polymorph_mev_per_atom": 72, "mass_density_g_cm3": 7.08}



{"formula": "MnCu2Te4", "functional": "PBE-GGA", "state": "relaxed", "cell": [[-3.8779, 3.9006, 5.7062], [3.8779, -3.9006, 5.7062], [3.8779, 3.9006, -5.7062]], "species": ["Mn", "Mn", "Cu", "Cu", "Cu", "Cu", "Te", "Te", "Te", "Te", "Te", "Te", "Te", "Te"], "frac_coords": [[0.5000, 0.0000, 0.0000], [0.5000, 0.5000, 0.5000], [0.0000, 0.0000, 0.0000], [0.1357, 0.3857, 0.7500], [0.5000, 0.0000, 0.5000], [0.8643, 0.6143, 0.2500], [0.2641, 0.2496, 0.0145], [0.2649, 0.7504, 0.5145], [0.2660, 0.2480, 0.4820], [0.2660, 0.7840, 0.0180], [0.7340, 0.2160, 0.9820], [0.7340, 0.7520, 0.5180], [0.7351, 0.2496, 0.4855], [0.7359, 0.7504, 0.9855]], "space_group": "Imma", "e_above_lowest_polymorph_mev_per_atom": 0, "mass_density_g_cm3": 6.66}



{"formula": "Mn4CuTe", "functional": "PBE-GGA", "state": "relaxed", "cell": [[0.0000, 3.4482, 3.4482], [3.4482, 0.0000, 3.4482], [3.4482, 3.4482, 0.0000]], "species": ["Mn", "Mn", "Mn", "Mn", "Cu", "Te"], "frac_coords": [[0.1240, 0.1240, 0.1240], [0.1240, 0.1240, 0.6281], [0.1240, 0.6281, 0.1240], [0.6281, 0.1240, 0.1240], [0.7500, 0.7500, 0.7500], [0.5000, 0.5000, 0.5000]], "space_group": "F-43m", "total_energy_ry_per_atom": -0.50336, "mass_density_g_cm3": 8.32}



{"formula": "Mn2CuTe", "functional": "PBE-GGA", "state": "relaxed", "cell": [[2.0496, 1.1833, 4.8795], [-2.0496, 1.1833, 4.8795], [0.0000, -2.3666, 4.8795]], "species": ["Mn", "Mn", "Cu", "Te"], "frac_coords": [[0.2255, 0.2255, 0.2255], [0.7745, 0.7745, 0.7745], [0.5000, 0.5000, 0.5000], [0.0000, 0.0000, 0.0000]], "space_group": "R-3m", "total_energy_ry_per_atom": -0.44707, "mass_density_g_cm3": 7.04}



{"formula": "Mn2CuTe", "functional": "PBE-GGA", "state": "relaxed", "cell": [[-1.8598, 1.8598, 8.9081], [1.8598, -1.8598, 8.9081], [1.8598, 1.8598, -8.9081]], "species": ["Mn", "Mn", "Mn", "Mn", "Cu", "Cu", "Te", "Te"], "frac_coords": [[0.0353, 0.6250, 0.9103], [0.3750, 0.2853, 0.4103], [0.7147, 0.1250, 0.0897], [0.8750, 0.9647, 0.5897], [0.0000, 0.0000, 0.0000], [0.7500, 0.2500, 0.5000], [0.2500, 0.7500, 0.5000], [0.5000, 0.5000, 0.0000]], "space_group": "I-42d", "total_energy_ry_per_atom": -0.42382, "mass_density_g_cm3": 8.11}



{"formula": "Mn2CuTe", "functional": "PBE-GGA", "state": "relaxed", "cell": [[-1.9302, 1.9302, 4.2097], [1.9302, -1.9302, 4.2097], [1.9302, 1.9302, -4.2097]], "species": ["Mn", "Mn", "Cu", "Te"], "frac_coords": [[0.0000, 0.0000, 0.0000], [0.7500, 0.2500, 0.5000], [0.5000, 0.5000, 0.0000], [0.2500, 0.7500, 0.5000]], "space_group": "I-4m2", "total_energy_ry_per_atom": -0.45003, "mass_density_g_cm3": 7.97}



{"formula": "MnCuTe", "functional": "PBE-GGA", "state": "relaxed", "cell": [[3.5136, 0.0000, 0.0000], [-0.0002, 3.9509, 0.0000], [-0.0946, -1.9678, 8.2484]], "species": ["Mn", "Mn", "Cu", "Cu", "Te", "Te"], "frac_coords": [[0.2199, 0.0406, 0.0810], [0.7801, 0.9594, 0.9190], [0.2700, 0.4421, 0.8834], [0.7300, 0.5579, 0.1166], [0.2365, 0.8395, 0.6773], [0.7635, 0.1605, 0.3227]], "space_group": "P-1", "e_above_lowest_polymorph_mev_per_atom": 25, "mass_density_g_cm3": 7.14}



{"formula": "Mn2CuTe", "functional": "PBE-GGA", "state": "relaxed", "cell": [[-1.9742, 1.9742, 3.9852], [1.9742, -1.9742, 3.9852], [1.9742, 1.9742, -3.9852]], "species": ["Mn", "Mn", "Cu", "Te"], "frac_coords": [[0.2500, 0.7500, 0.5000], [0.7500, 0.2500, 0.5000], [0.0000, 0.0000, 0.0000], [0.5000, 0.5000, 0.0000]], "space_group": "I4/mmm", "total_energy_ry_per_atom": -0.45187, "mass_density_g_cm3": 8.05}



{"formula": "MnCuTe", "functional": "PBE-GGA", "state": "relaxed", "cell": [[0.0000, 3.0846, 3.0846], [3.0846, 0.0000, 3.0846], [3.0846, 3.0846, 0.0000]], "species": ["Mn", "Cu", "Te"], "frac_coords": [[0.0000, 0.0000, 0.0000], [0.2500, 0.2500, 0.2500], [0.7500, 0.7500, 0.7500]], "space_group": "F-43m", "e_above_lowest_polymorph_mev_per_atom": 0, "mass_density_g_cm3": 6.96}



{"formula": "MnCu2Te4", "functional": "PBE-GGA", "state": "relaxed", "cell": [[0.0000, 5.5924, 5.5924], [5.5924, 0.0000, 5.5924], [5.5924, 5.5924, 0.0000]], "species": ["Mn", "Mn", "Cu", "Cu", "Cu", "Cu", "Te", "Te", "Te", "Te", "Te", "Te", "Te", "Te"], "frac_coords": [[0.1250, 0.1250, 0.1250], [0.8750, 0.8750, 0.8750], [0.0000, 0.5000, 0.5000], [0.5000, 0.0000, 0.5000], [0.5000, 0.5000, 0.0000], [0.5000, 0.5000, 0.5000], [0.2574, 0.2574, 0.2574], [0.2574, 0.2574, 0.7277], [0.2574, 0.7277, 0.2574], [0.2723, 0.7426, 0.7426], [0.7277, 0.2574, 0.2574], [0.7426, 0.2723, 0.7426], [0.7426, 0.7426, 0.2723], [0.7426, 0.7426, 0.7426]], "space_group": "Fd-3m", "e_above_lowest_polymorph_mev_per_atom": 110, "mass_density_g_cm3": 6.57}



{"formula": "MnCuTe4", "functional": "PBE-GGA", "state": "relaxed", "cell": [[5.5659, 0.0000, 0.0000], [0.0000, 3.9468, 0.0000], [-0.0944, 0.0000, 7.0910]], "species": ["Mn", "Cu", "Te", "Te", "Te", "Te"], "frac_coords": [[0.0000, 0.0000, 0.0000], [0.0000, 0.5000, 0.5000], [0.2178, 0.0000, 0.3326], [0.2854, 0.5000, 0.8710], [0.7146, 0.5000, 0.1290], [0.7822, 0.0000, 0.6674]], "space_group": "P2/m", "e_above_lowest_polymorph_mev_per_atom": 0, "mass_density_g_cm3": 6.70}



{"formula": "Mn3CuTe", "functional": "PBE-GGA", "state": "relaxed", "cell": [[4.6141, 0.0000, 0.0000], [0.0000, 4.6141, 0.0000], [0.0000, 0.0000, 4.6141]], "species": ["Mn", "Mn", "Mn", "Cu", "Te"], "frac_coords": [[0.0000, 0.0000, 0.5000], [0.0000, 0.5000, 0.0000], [0.5000, 0.0000, 0.0000], [0.0000, 0.0000, 0.0000], [0.5000, 0.5000, 0.5000]], "space_group": "Pm-3m", "e_above_lowest_polymorph_mev_per_atom": 0, "mass_density_g_cm3": 6.02}



{"formula": "Mn2CuTe", "functional": "PBE-GGA", "state": "relaxed", "cell": [[1.5419, 0.8902, 8.4484], [-1.5419, 0.8902, 8.4484], [0.0000, -1.7804, 8.4484]], "species": ["Mn", "Mn", "Cu", "Te"], "frac_coords": [[0.0000, 0.0000, 0.0000], [0.2534, 0.2534, 0.2534], [0.7406, 0.7406, 0.7406], [0.5047, 0.5047, 0.5047]], "space_group": "R3m", "total_energy_ry_per_atom": -0.43240, "mass_density_g_cm3": 7.18}



{"formula": "MnCuTe4", "functional": "PBE-GGA", "state": "relaxed", "cell": [[0.0000, 4.4458, 4.4458], [4.4458, 0.0000, 4.4458], [4.4458, 4.4458, 0.0000]], "species": ["Mn", "Cu", "Te", "Te", "Te", "Te"], "frac_coords": [[0.0000, 0.0000, 0.0000], [0.2500, 0.2500, 0.2500], [0.1255, 0.6248, 0.6248], [0.6248, 0.1255, 0.6248], [0.6248, 0.6248, 0.1255], [0.6248, 0.6248, 0.6248]], "space_group": "F-43m", "e_above_lowest_polymorph_mev_per_atom": 964, "mass_density_g_cm3": 5.94}



{"formula": "MnCuTe4", "functional": "PBE-GGA", "state": "relaxed", "cell": [[7.1933, 0.0000, 0.0000], [0.0000, 6.7086, 0.0000], [-2.5799, 0.0000, 6.6265]], "species": ["Mn", "Mn", "Cu", "Cu", "Te", "Te", "Te", "Te", "Te", "Te", "Te", "Te"], "frac_coords": [[0.0000, 0.1349, 0.2500], [0.0000, 0.8651, 0.7500], [0.5000, 0.1361, 0.7500], [0.5000, 0.8639, 0.2500], [0.2372, 0.1174, 0.0249], [0.2372, 0.8826, 0.5249], [0.2542, 0.3799, 0.4998], [0.2542, 0.6201, 0.9998], [0.7458, 0.3799, 0.0002], [0.7458, 0.6201, 0.5002], [0.7628, 0.1174, 0.4751], [0.7628, 0.8826, 0.9751]], "space_group": "P2/c", "e_above_lowest_polymorph_mev_per_atom": 84, "mass_density_g_cm3": 6.53}



{"formula": "Mn2CuTe4", "functional": "PBE-GGA", "state": "relaxed", "cell": [[6.9022, -3.9753, 0.0000], [6.9022, 3.9753, 0.0000], [-4.6525, 0.0000, 13.0044]], "species": ["Mn", "Mn", "Mn", "Mn", "Mn", "Mn", "Mn", "Mn", "Cu", "Cu", "Cu", "Cu", "Te", "Te", "Te", "Te", "Te", "Te", "Te", "Te", "Te", "Te", "Te", "Te", "Te", "Te", "Te", "Te"], "frac_coords": [[0.0000, 0.0000, 0.0000], [0.0000, 0.0000, 0.5000], [0.0000, 0.5000, 0.5000], [0.2494, 0.7506, 0.7500], [0.5000, 0.0000, 0.0000], [0.5000, 0.5000, 0.0000], [0.5000, 0.5000, 0.5000], [0.7506, 0.2494, 0.2500], [0.0633, 0.5619, 0.1874], [0.4381, 0.9367, 0.3126], [0.5619, 0.0633, 0.6874], [0.9367, 0.4381, 0.8126], [0.1091, 0.1341, 0.3789], [0.1280, 0.6279, 0.3848], [0.1341, 0.1091, 0.8789], [0.1349, 0.6352, 0.8781], [0.3653, 0.3920, 0.6213], [0.3648, 0.8651, 0.6219], [0.3721, 0.8720, 0.1152], [0.3920, 0.3653, 0.1213], [0.6080, 0.6347, 0.8787], [0.6279, 0.1280, 0.8848], [0.6352, 0.1349, 0.3781], [0.6347, 0.6080, 0.3787], [0.8651, 0.3648, 0.1219], [0.8659, 0.8909, 0.1211], [0.8720, 0.3721, 0.6152], [0.8909, 0.8659, 0.6211]], "space_group": "C2/c", "e_above_lowest_polymorph_mev_per_atom": 0, "mass_density_g_cm3": 6.36}



{"formula": "MnCu2Te8", "functional": "PBE-GGA", "state": "relaxed", "cell": [[7.1647, -3.6060, 0.0000], [7.1647, 3.6060, 0.0000], [-0.0627, 0.0000, 6.0168]], "species": ["Mn", "Cu", "Cu", "Te", "Te", "Te", "Te", "Te", "Te", "Te", "Te"], "frac_coords": [[0.0000, 0.0000, 0.0000], [0.1801, 0.1801, 0.4126], [0.8199, 0.8199, 0.5874], [0.1686, 0.1686, 0.8363], [0.1931, 0.6939, 0.6950], [0.3061, 0.8069, 0.3050], [0.3160, 0.3160, 0.1492], [0.6840, 0.6840, 0.8508], [0.6939, 0.1931, 0.6950], [0.8069, 0.3061, 0.3050], [0.8314, 0.8314, 0.1637]], "space_group": "C2/m", "total_energy_ry_per_atom": -0.28289, "mass_density_g_cm3": 6.42}



{"formula": "Mn2CuTe", "functional": "PBE-GGA", "state": "relaxed", "cell": [[3.4385, 0.0000, 0.0000], [0.0000, 3.4385, 0.0000], [0.0000, 0.0000, 5.5224]], "species": ["Mn", "Mn", "Cu", "Te"], "frac_coords": [[0.0000, 0.0000, 0.0000], [0.5000, 0.5000, 0.2597], [0.5000, 0.5000, 0.7972], [0.0000, 0.0000, 0.4933]], "space_group": "P4mm", "total_energy_ry_per_atom": -0.45152, "mass_density_g_cm3": 7.66}